(1)
The following is a GGA-PBE calculation of a relaxed structure of LaFeAu2, from Alexandria via LeMat-Bulk.

## Properties
formation energy from the elements	-48	kJ/mol of formula units
raw total energy	-5.110	eV/atom

Cell: 4.385 4.385 8.691 Å, 90.00 90.00 90.00°
Space group I-4m2 (No. 119)
One atom of each set of equivalent atoms:
1 La 0.000 0.000 0.000 (multiplicity 2)
2 Fe 0.000 0.500 0.250 (multiplicity 2)
3 Au 0.000 0.000 0.500 (multiplicity 2)
4 Au 0.000 0.500 0.750 (multiplicity 2)

---

(2)
The following is a GGA-PBE calculation of a relaxed structure of La5FeAu2, from Alexandria via LeMat-Bulk.

## Properties
formation energy from the elements	-328	kJ/mol of formula units
raw total energy	-5.382	eV/atom

Cell: 9.078 12.398 4.147 Å, 90.00 90.00 90.00°
Space group Pbam (No. 55)
One atom of each set of equivalent atoms:
1 La 0.000 0.000 0.000 (multiplicity 2)
2 La 0.140 0.302 0.000 (multiplicity 4)
3 La 0.172 0.573 0.500 (multiplicity 4)
4 Fe 0.000 0.500 0.000 (multiplicity 2)
5 Au 0.076 0.824 0.500 (multiplicity 4)

---

(3)
The following is a GGA-PBE calculation of a relaxed structure of LaFe2Au, from Alexandria via LeMat-Bulk.

## Properties
formation energy from the elements	140	kJ/mol of formula units
raw total energy	-5.919	eV/atom

Cell: 5.889 9.020 3.211 Å, 90.00 118.59 90.00°
Space group C2/m (No. 12)
One atom of each set of equivalent atoms:
1 La 0.000 0.000 0.000 (multiplicity 2)
2 Fe 0.250 0.250 0.500 (multiplicity 4)
3 Au 0.000 0.500 0.000 (multiplicity 2)

---

(4)
The following is a GGA-PBE calculation of a relaxed structure of La2FeAu, from Alexandria via LeMat-Bulk.

## Properties
formation energy from the elements	-9	kJ/mol of formula units
raw total energy	-5.422	eV/atom

Cell: 3.545 3.545 8.344 Å, 90.00 90.00 90.00°
Space group P4mm (No. 99)
One atom of each set of equivalent atoms:
1 La 0.000 0.000 0.000 (multiplicity 1)
2 La 0.500 0.500 0.392 (multiplicity 1)
3 Fe 0.500 0.500 0.768 (multiplicity 1)
4 Au 0.000 0.000 0.625 (multiplicity 1)